# LaMg2Pb PBEsol optimized geometry
data_LaMg2Pb
_cell_length_a 3.3914
_cell_length_b 3.3914
_cell_length_c 32.7272
_cell_angle_alpha 90.00
_cell_angle_beta 90.00
_cell_angle_gamma 120.00
_space_group_name_H-M_alt 'R 3 m'
_space_group_IT_number 160
_space_group_name_Hall 'R 3 -2"'
loop_
_atom_site_label
_atom_site_type_symbol
_atom_site_fract_x
_atom_site_fract_y
_atom_site_fract_z
La1 La 0.0000 0.0000 0.0000
Mg1 Mg 0.0000 0.0000 0.2419
Mg2 Mg 0.0000 0.0000 0.4981
Pb1 Pb 0.0000 0.0000 0.7545
# Energy of formation from the pure elements in meV per atom: -84